(1)
This record from the Alexandria database describes an optimized crystal structure of CsNb2I2. The functional is PBE-GGA.

Summary:
**Energy relative to the elements, uncorrected**: 0.537 eV/atom
**Crystal system**: tetragonal

Cell: 9.7278 9.7278 3.6211 Å, 90.00 90.00 90.00°
Space group P4/mbm (No. 127)
Inequivalent atoms, fractional coordinates:
1 Cs 0.0000 0.0000 0.0000 [2 per cell]
2 Nb 0.0826 0.4174 0.5000 [4 per cell]
3 I 0.1560 0.6560 0.0000 [4 per cell]

(2)
This record from the Alexandria database describes an optimized crystal structure of Ca5P3HO13. The functional is PBE-GGA.

Summary:
**Raw total energy**: -623.7 eV for the cell shown
**Crystal system**: monoclinic

Cell: 9.5421 6.9196 19.0819 Å, 90.00 119.98 90.00°
Space group P2_1/c (No. 14)
Inequivalent atoms, fractional coordinates:
1 Ca 0.0016 0.2436 0.3755 [4 per cell]
2 Ca 0.2480 0.2464 0.2489 [4 per cell]
3 Ca 0.2514 0.7436 0.3745 [4 per cell]
4 Ca 0.3246 0.0006 0.0794 [4 per cell]
5 Ca 0.3419 0.0024 0.5877 [4 per cell]
6 P 0.0294 0.7480 0.4490 [4 per cell]
7 P 0.3691 0.7449 0.2349 [4 per cell]
8 P 0.3977 0.2448 0.4343 [4 per cell]
9 H 0.0007 0.5591 0.2495 [4 per cell]
10 O 0.0005 0.7003 0.2501 [4 per cell]
11 O 0.0782 0.5818 0.9126 [4 per cell]
12 O 0.0894 0.5582 0.4290 [4 per cell]
13 O 0.1232 0.7324 0.0432 [4 per cell]
14 O 0.1560 0.2455 0.0852 [4 per cell]
15 O 0.2535 0.5780 0.7097 [4 per cell]
16 O 0.2624 0.5607 0.2050 [4 per cell]
17 O 0.3264 0.0815 0.8752 [4 per cell]
18 O 0.3289 0.2395 0.4927 [4 per cell]
19 O 0.3562 0.0584 0.3822 [4 per cell]
20 O 0.4139 0.7373 0.5179 [4 per cell]
21 O 0.4647 0.7437 0.6883 [4 per cell]
22 O 0.4857 0.7403 0.3277 [4 per cell]

(3)
This record from the Alexandria database describes an optimized crystal structure of HoBeAl. The functional is PBE-GGA.

Summary:
**Energy of formation from the pure elements**: -260 meV per atom
**Crystal system**: hexagonal

Cell: 4.2690 4.2690 3.5584 Å, 90.00 90.00 120.00°
Space group P-6m2 (No. 187)
Inequivalent atoms, fractional coordinates:
1 Ho 0.0000 0.0000 0.0000 [1 per cell]
2 Be 0.3333 0.6667 0.5000 [1 per cell]
3 Al 0.6667 0.3333 0.5000 [1 per cell]

Q: What is the formula in the first record?
A: CsNb2I2